# LiZnSe2

A relaxed structure of LiZnSe2 (PBE, Alexandria via LeMat-Bulk).

E_form (uncorrected), eV per atom: -0.010
Total DFT energy (no corrections), eV per atom: -2.550

a b c (Å): 4.785 4.785 4.785
angles (deg): 60.00 60.00 60.00
Element x y z (fractional)
Zn  0.750  0.750  0.750
Li  0.500  0.500  0.500
Se  0.000  0.000  0.000
Se  0.250  0.250  0.250